Run i
The following is a PBE-GGA calculation of an optimized crystal structure of PtW2Cl, from Alexandria via LeMat-Bulk.

Unit cell a=3.8922 b=3.8922 c=4.3631 alpha=90.00 beta=90.00 gamma=90.00
Closest atoms and distances in Å follow each position.
Space group P4/mmm (No. 123)
Inequivalent atoms, fractional coordinates:
Pt: 0.0000 0.0000 0.0000 [1 per cell]  4 Cl 2.75, 8 W 2.92
W: 0.0000 0.5000 0.5000 [2 per cell]  4 W 2.75, 4 Cl 2.92, 4 Pt 2.92
Cl: 0.5000 0.5000 0.0000 [1 per cell]  4 Pt 2.75, 8 W 2.92

- calculated density (g/cm3) = 15.03
- magnetization (μB/f.u.) = 0.00

Run ii
The following is a PBE-GGA calculation of an optimized crystal structure of PtW2Cl, from Alexandria via LeMat-Bulk.

Unit cell a=4.2568 b=4.2568 c=16.2588 alpha=90.00 beta=90.00 gamma=90.00
Closest atoms and distances in Å follow each position.
Space group I-42d (No. 122)
Inequivalent atoms, fractional coordinates:
Pt: 0.0000 0.0000 0.0000 [4 per cell]  4 W 2.62
W: 0.2013 0.2500 0.6250 [8 per cell]  2 Cl 2.45, 2 Pt 2.62, 2 W 2.73
Cl: 0.0000 0.0000 0.5000 [4 per cell]  4 W 2.45

- calculated density (g/cm3) = 13.49
- magnetization (μB/f.u.) = 0.00

Run iii
The following is a PBE-GGA calculation of an optimized crystal structure of PtW2Cl, from Alexandria via LeMat-Bulk.

Unit cell a=8.1964 b=2.7708 c=5.7235 alpha=90.00 beta=99.17 gamma=90.00
Closest atoms and distances in Å follow each position.
Space group C2/m (No. 12)
Inequivalent atoms, fractional coordinates:
Pt: 0.0000 0.0000 0.0000 [2 per cell]  6 W 2.71-2.74, 2 Pt 2.77
W: 0.2485 0.5000 0.2638 [4 per cell]  3 Cl 2.62-2.67, 3 Pt 2.71-2.74, 2 W 2.77
Cl: 0.0000 0.5000 0.5000 [2 per cell]  6 W 2.62-2.67, 2 Cl 2.77

- calculated density (g/cm3) = 15.48
- magnetization (μB/f.u.) = 0.00

Taking the most stable structure as the zero point, the relative energies in meV per atom are run i 608; run ii 473; run iii 0.

Run i
The following is a PBE-GGA calculation of an optimized crystal structure of PtW2Cl, from Alexandria via LeMat-Bulk.

Unit cell a=2.8153 b=5.0492 c=9.0811 alpha=90.00 beta=90.00 gamma=90.00
Closest atoms and distances in Å follow each position.
Space group Immm (No. 71)
Inequivalent atoms, fractional coordinates:
Pt: 0.0000 0.0000 0.0000 [2 per cell]  4 W 2.80, 2 Pt 2.82, 4 Cl 2.89
W: 0.0000 0.5000 0.2331 [4 per cell]  2 Cl 2.54, 2 Pt 2.80, 2 W 2.82
Cl: 0.0000 0.0000 0.5000 [2 per cell]  4 W 2.54, 2 Cl 2.82

- calculated density (g/cm3) = 15.39
- magnetization (μB/f.u.) = 0.00

Run ii
The following is a PBE-GGA calculation of an optimized crystal structure of PtW2Cl, from Alexandria via LeMat-Bulk.

Unit cell a=10.4538 b=2.7835 c=5.1181 alpha=90.00 beta=115.86 gamma=90.00
Closest atoms and distances in Å follow each position.
Space group Cm (No. 8)
Inequivalent atoms, fractional coordinates:
Pt: 0.0000 0.0000 0.0000 [2 per cell]  7 W 2.74-2.96, 2 Pt 2.78, 1 Cl 3.04
W: 0.0372 0.5000 0.5263 [2 per cell]  2 Cl 2.62, 4 W 2.74-2.78, 2 Pt 2.90
W: 0.2616 0.0000 0.9319 [2 per cell]  2 Cl 2.44
Cl: 0.3027 0.5000 0.3531 [2 per cell]  4 W 2.44-2.62

- calculated density (g/cm3) = 14.82
- magnetization (μB/f.u.) = 0.00

Taking the most stable structure as the zero point, the relative energies in meV per atom are run i 244; run ii 0.

Run i
The following is a PBE-GGA calculation of an optimized crystal structure of PtW2Cl, from Alexandria via LeMat-Bulk.

Unit cell a=2.8823 b=2.8823 c=28.9142 alpha=90.00 beta=90.00 gamma=120.00
Closest atoms and distances in Å follow each position.
Space group R3m (No. 160, hexagonal axes)
Inequivalent atoms, fractional coordinates:
Pt: 0.0000 0.0000 0.0000 [3 per cell]  3 W 2.73, 6 Pt 2.88
W: 0.0000 0.0000 0.4903 [3 per cell]  3 Cl 2.49
W: 0.0000 0.0000 0.7414 [3 per cell]  3 Pt 2.73, 9 W 2.88-2.90
Cl: 0.0000 0.0000 0.2212 [3 per cell]  3 W 2.49

- calculated density (g/cm3) = 14.33
- magnetization (μB/f.u.) = 0.00

Run ii
The following is a PBE-GGA calculation of an optimized crystal structure of PtW2Cl, from Alexandria via LeMat-Bulk.

Unit cell a=6.4158 b=6.4158 c=6.4158 alpha=90.00 beta=90.00 gamma=90.00
Closest atoms and distances in Å follow each position.
Space group F-43m (No. 216)
Inequivalent atoms, fractional coordinates:
Pt: 0.0000 0.0000 0.0000 [4 per cell]  4 Cl 2.78, 4 W 2.78
W: 0.0000 0.0000 0.5000 [4 per cell]  4 W 2.78, 4 Cl 2.78
W: 0.2500 0.2500 0.2500 [4 per cell]  4 W 2.78, 4 Pt 2.78
Cl: 0.2500 0.2500 0.7500 [4 per cell]  4 W 2.78, 4 Pt 2.78

- calculated density (g/cm3) = 15.05
- magnetization (μB/f.u.) = 0.64

Run iii
The following is a PBE-GGA calculation of an optimized crystal structure of PtW2Cl, from Alexandria via LeMat-Bulk.

Unit cell a=4.0905 b=4.0905 c=7.8272 alpha=90.00 beta=90.00 gamma=90.00
Closest atoms and distances in Å follow each position.
Space group I-4m2 (No. 119)
Inequivalent atoms, fractional coordinates:
Pt: 0.0000 0.0000 0.0000 [2 per cell]  4 Cl 2.83, 8 W 2.83-2.89
W: 0.0000 0.0000 0.5000 [2 per cell]  4 Cl 2.83, 4 W 2.83, 4 Pt 2.89
W: 0.0000 0.5000 0.7500 [2 per cell]  4 W 2.83, 4 Pt 2.83, 4 Cl 2.89
Cl: 0.0000 0.5000 0.2500 [2 per cell]  8 W 2.83-2.89, 4 Pt 2.83

- calculated density (g/cm3) = 15.17
- magnetization (μB/f.u.) = 0.00

Run iv
The following is a PBE-GGA calculation of an optimized crystal structure of PtW2Cl, from Alexandria via LeMat-Bulk.

Unit cell a=2.7776 b=4.6541 c=5.1659 alpha=90.00 beta=90.00 gamma=90.00
Closest atoms and distances in Å follow each position.
Space group Pmmm (No. 47)
Inequivalent atoms, fractional coordinates:
Pt: 0.0000 0.0000 0.0000 [1 per cell]  4 W 2.71, 2 Pt 2.78, 4 Cl 2.93
W: 0.0000 0.5000 0.5000 [1 per cell]  4 Cl 2.71, 6 W 2.78-2.93
W: 0.5000 0.5000 0.0000 [1 per cell]  4 Pt 2.71, 6 W 2.78-2.93
Cl: 0.5000 0.0000 0.5000 [1 per cell]  4 W 2.71, 2 Cl 2.78, 4 Pt 2.93

- calculated density (g/cm3) = 14.88
- magnetization (μB/f.u.) = 0.00

Taking the most stable structure as the zero point, the relative energies in meV per atom are run i 0; run ii 879; run iii 863; run iv 712.